Computed, not measured: a relaxed Rb2SrAcO4 crystal at the PBE-GGA level of DFT.

a b c (Å): 3.860 6.552 6.959
angles (deg): 107.58 90.00 90.00
Last column: magnetic moment on the atom in μB.
Positions (direct):
Rb  0.500  0.000  0.500  0.01
Rb  0.000  0.500  0.500  0.00
Sr  0.000  0.000  0.000  0.00
Ac  0.500  0.500  0.000  0.08
O  0.500  0.245  0.190  0.26
O  0.500  0.755  0.810  0.26
O  0.000  0.276  0.807  0.14
O  0.000  0.724  0.193  0.14

SG ... P2/m (10)
Uncorrected formation energy ... -1649 kJ/mol of formula units
E ... -5.58 eV/atom
Calculated volume ... 168 Å³ per cell